# 1
DFT (PBE) results for a geometry-optimized Ta2RuAu structure.

Calculated values
- Excess energy over the best structure of this formula in the dataset: 0.0000 eV per atom
- Formation energy from the elements: -0.163 eV/atom
- Spin magnetization: 0.000 μB/f.u.

Cell lengths 4.947, 4.947, 4.947 Å; angles 131.42, 131.54, 71.05 degrees
Element x y z (fractional)
Ta1 0.000 0.000 0.000
Ru1 0.250 0.750 0.500
Ta2 0.500 0.500 0.000
Au1 0.750 0.250 0.500

---

# 2
DFT (PBE) results for a geometry-optimized GeP3Rh structure.

Calculated values
- Excess energy over the best structure of this formula in the dataset: 0.0000 eV per atom
- Formation energy from the elements: 0.715 eV/atom
- Spin magnetization: 0.000 μB/f.u.

Cell lengths 4.618, 4.618, 4.618 Å; angles 90.00, 90.00, 90.00 degrees
Element x y z (fractional)
Rh1 0.000 0.000 0.000
P1 0.500 0.000 0.000
Ge1 0.500 0.500 0.500
P2 0.000 0.500 0.000
P3 0.000 0.000 0.500

---

# 3
DFT (PBE) results for a geometry-optimized TaN structure.

Calculated values
- Spin magnetization: 0.000 μB/f.u.
- Uncorrected formation energy: -935 meV per atom

Cell lengths 2.921, 2.921, 5.922 Å; angles 90.00, 90.00, 120.00 degrees
Element x y z (fractional)
N1 0.667 0.333 0.750
N2 0.333 0.667 0.250
Ta1 0.000 0.000 0.500
Ta2 0.000 0.000 0.000

---

# 4
DFT (PBE) results for a geometry-optimized Sr2ZnTe structure.

Calculated values
- Excess energy over the best structure of this formula in the dataset: 0.0000 eV per atom
- Spin magnetization: 0.000 μB/f.u.
- Uncorrected formation energy: -815 meV per atom

Cell lengths 4.122, 4.123, 7.584 Å; angles 90.00, 90.00, 90.00 degrees
Element x y z (fractional)
Zn1 0.500 0.500 0.750
Sr1 0.000 0.000 0.504
Sr2 0.000 0.000 0.996
Te1 0.500 0.500 0.250

---

# 5
DFT (PBE) results for a geometry-optimized Pr3Ho4Rh4 structure.

Calculated values
- Formation energy from the elements: -0.590 eV/atom
- Spin magnetization: 0.000 μB/f.u.

Cell lengths 3.897, 8.901, 9.308 Å; angles 118.56, 102.08, 90.00 degrees
Element x y z (fractional)
Rh1 0.500 0.228 0.000
Rh2 0.759 0.259 0.519
Pr1 0.899 0.899 0.798
Ho1 0.668 0.478 0.336
Rh3 0.500 0.772 0.000
Pr2 0.101 0.101 0.202
Ho2 0.668 0.858 0.336
Ho3 0.332 0.522 0.664
Rh4 0.241 0.741 0.481
Pr3 0.000 0.500 0.000
Ho4 0.332 0.142 0.664

---

# 6
DFT (PBE) results for a geometry-optimized Pm5NdSb3 structure.

Calculated values
- Spin magnetization: 0.000 μB/f.u.
- Uncorrected formation energy: -438 meV per atom

Cell lengths 7.802, 7.802, 10.752 Å; angles 111.27, 111.27, 90.00 degrees
Element x y z (fractional)
Sb1 0.250 0.250 0.500
Sb2 0.869 0.631 0.000
Pm1 0.189 0.062 0.750
Sb3 0.750 0.750 0.500
Pm2 0.562 0.689 0.750
Nd1 0.750 0.250 0.500
Nd2 0.250 0.750 0.500
Sb4 0.131 0.369 0.000
Pm3 0.500 0.500 0.000
Pm4 0.811 0.938 0.250
Pm5 0.438 0.311 0.250
Pm6 0.062 0.562 0.750
Pm7 0.000 0.000 0.000
Pm8 0.938 0.438 0.250
Sb5 0.631 0.131 0.000
Pm9 0.689 0.189 0.750
Sb6 0.369 0.869 0.000
Pm10 0.311 0.811 0.250

---

# 7
DFT (PBE) results for a geometry-optimized K3AcP2O8 structure.

Calculated values
- Spin magnetization: 0.000 μB/f.u.
- Uncorrected formation energy: -2548 meV per atom

Cell lengths 5.869, 5.869, 8.317 Å; angles 90.00, 90.00, 120.00 degrees
Element x y z (fractional)
K1 0.333 0.667 0.760
O1 0.811 0.622 0.688
P1 0.333 0.667 0.245
O2 0.189 0.811 0.312
O3 0.189 0.378 0.312
O4 0.811 0.189 0.688
O5 0.622 0.811 0.312
K2 0.667 0.333 0.240
P2 0.667 0.333 0.755
O6 0.378 0.189 0.688
O7 0.333 0.667 0.062
K3 0.000 0.000 0.000
Ac1 0.000 0.000 0.500
O8 0.667 0.333 0.938

---

# 8
DFT (PBE) results for a geometry-optimized Ce2PrSmSb4 structure.

Calculated values
- Spin magnetization: 1.512 μB/f.u.
- Uncorrected formation energy: -1117 meV per atom

Cell lengths 4.506, 7.806, 7.809 Å; angles 70.54, 90.00, 90.00 degrees
Element x y z (fractional)
Sb1 0.500 0.752 0.252
Sb2 0.000 0.247 0.254
Sb3 0.000 0.753 0.746
Sm1 0.000 0.500 0.500
Ce1 0.000 0.000 0.000
Sb4 0.500 0.248 0.748
Ce2 0.500 0.000 0.500
Pr1 0.500 0.500 0.000

---

# 9
DFT (PBE) results for a geometry-optimized Ba2TlAs structure.

Calculated values
- Excess energy over the best structure of this formula in the dataset: 0.2888 eV per atom
- Formation energy from the elements: -0.413 eV/atom
- Spin magnetization: 0.691 μB/f.u.

Cell lengths 4.937, 4.937, 6.907 Å; angles 90.00, 90.00, 90.00 degrees
Element x y z (fractional)
Ba1 0.000 0.000 0.877
Ba2 0.500 0.500 0.373
As1 0.500 0.500 0.872
Tl1 0.000 0.000 0.378

---

# 10
DFT (PBE) results for a geometry-optimized Pu2CdAg2 structure.

Calculated values
- Formation energy from the elements: 0.051 eV/atom
- Spin magnetization: 0.095 μB/f.u.

Cell lengths 9.843, 10.290, 8.205 Å; angles 67.58, 73.20, 16.73 degrees
Element x y z (fractional)
Ag1 0.698 0.662 0.589
Pu1 0.903 0.250 0.000
Cd1 0.823 0.459 0.297
Ag2 0.432 0.113 0.137
Ag3 0.568 0.887 0.863
Pu2 0.097 0.750 0.000
Cd2 0.177 0.541 0.703
Ag4 0.302 0.338 0.411
Pu3 0.014 0.956 0.312
Pu4 0.986 0.044 0.688

---

# 11
DFT (PBE) results for a geometry-optimized Pr4Re3N10 structure.

Calculated values
- Spin magnetization: 0.000 μB/f.u.
- Uncorrected formation energy: -724 meV per atom

Cell lengths 3.957, 3.957, 14.461 Å; angles 97.86, 97.86, 90.00 degrees
Element x y z (fractional)
N1 0.500 0.000 0.000
Pr1 0.703 0.703 0.406
N2 0.070 0.070 0.140
N3 0.930 0.930 0.860
N4 0.788 0.788 0.576
Re1 0.140 0.140 0.279
N5 0.212 0.212 0.424
Pr2 0.568 0.568 0.136
N6 0.360 0.860 0.720
Pr3 0.432 0.432 0.864
Re2 0.000 0.000 0.000
N7 0.860 0.360 0.720
Pr4 0.297 0.297 0.594
N8 0.000 0.500 0.000
N9 0.140 0.640 0.280
Re3 0.860 0.860 0.721
N10 0.640 0.140 0.280

---

# 12
DFT (PBE) results for a geometry-optimized Ba2Na2Pb3 structure.

Calculated values
- Formation energy from the elements: -0.324 eV/atom
- Spin magnetization: 0.000 μB/f.u.

Cell lengths 5.472, 6.561, 8.067 Å; angles 104.84, 90.00, 114.64 degrees
Element x y z (fractional)
Na1 0.137 0.273 0.218
Na2 0.863 0.727 0.782
Pb1 0.604 0.209 0.431
Pb2 0.396 0.791 0.569
Ba1 0.152 0.303 0.745
Ba2 0.848 0.697 0.255
Pb3 0.500 0.000 0.000

---

# 13
DFT (PBE) results for a geometry-optimized FePNCl2 structure.

Calculated values
- Excess energy over the best structure of this formula in the dataset: 0.4507 eV per atom
- Spin magnetization: 0.001 μB/f.u.
- Uncorrected formation energy: 1430 meV per atom

Cell lengths 4.423, 4.423, 4.404 Å; angles 90.00, 90.00, 90.00 degrees
Element x y z (fractional)
P1 0.000 0.000 0.500
Fe1 0.000 0.000 0.000
Cl1 0.000 0.500 0.000
N1 0.500 0.500 0.500
Cl2 0.500 0.000 0.000

---

# 14
DFT (PBE) results for a geometry-optimized PuScNi structure.

Calculated values
- Excess energy over the best structure of this formula in the dataset: 0.0544 eV per atom
- Formation energy from the elements: -0.129 eV/atom
- Spin magnetization: 6.044 μB/f.u.

Cell lengths 3.228, 3.228, 6.294 Å; angles 104.86, 104.86, 90.00 degrees
Element x y z (fractional)
Pu1 0.021 0.021 0.043
Ni1 0.681 0.681 0.362
Sc1 0.298 0.298 0.595